# 1
The following is a DFT calculation (PBEsol) of an optimized crystal structure of BeSbC2.

Results
DOS(E_F): 0.427 states/eV per atom
Formation energy (no corrections): 1.0033 eV/atom

Unit cell a=4.4761 b=4.4761 c=5.7470 alpha=112.92 beta=112.92 gamma=90.00
Last column: nearest neighbours and their distance in Å.
Element x y z (fractional)
C 0.6250 0.5731 0.7500  2 Be 1.86
C 0.8231 0.3750 0.2500  2 Be 1.86
C 0.1250 0.1769 0.7500  2 Be 1.86
C 0.4269 0.8750 0.2500  2 Be 1.86
Sb 0.0000 0.0000 0.0000  4 C 2.13
Sb 0.2500 0.7500 0.5000  4 C 2.13
Be 0.7500 0.2500 0.5000  4 C 1.86
Be 0.5000 0.5000 0.0000  4 C 1.86

---

# 2
The following is a DFT calculation (PBEsol) of an optimized crystal structure of InRhBr2.

Results
Polymorph energy (0 for the lowest one): 115 meV per atom
Formation energy (no corrections): -0.1069 eV/atom

Unit cell a=3.5816 b=3.5816 c=7.1936 alpha=90.00 beta=90.00 gamma=90.00
Last column: nearest neighbours and their distance in Å.
Element x y z (fractional)
Br 0.5000 0.5000 0.3231  1 Rh 2.55
Br 0.0000 0.0000 0.9376  1 In 2.70
In 0.0000 0.0000 0.5620  4 Rh 2.67, 1 Br 2.70
Rh 0.5000 0.5000 0.6774  1 Br 2.55, 4 In 2.67

---

# 3
The following is a DFT calculation (PBEsol) of an optimized crystal structure of ScGaOs2C.

Results
DOS(E_F): 1.058 states/eV per atom
DFT formation energy: 2.468 eV per atom

Unit cell a=4.4390 b=4.4390 c=4.7867 alpha=90.00 beta=90.00 gamma=90.00
Last column: nearest neighbours and their distance in Å.
Element x y z (fractional)
Ga 0.0000 0.0000 0.0000  4 Os 2.22, 2 Sc 2.39
Sc 0.0000 0.0000 0.5000  2 Ga 2.39
Os 0.5000 0.0000 0.0000  2 Ga 2.22
Os 0.0000 0.5000 0.0000  2 Ga 2.22
C 0.5000 0.5000 0.5000  4 Sc 3.14, 8 Os 3.26

---

# 4
The following is a DFT calculation (PBEsol) of an optimized crystal structure of Hf2AlCuO.

Results
DOS(E_F): 0.768 states/eV per atom
Formation energy (no corrections): 1.0498 eV/atom

Unit cell a=4.0778 b=4.9224 c=4.9224 alpha=90.00 beta=90.00 gamma=90.00
Last column: nearest neighbours and their distance in Å.
Element x y z (fractional)
Cu 0.5000 0.0000 0.0000  2 Al 2.04
Hf 0.0000 0.0000 0.5000  2 Al 2.46
Hf 0.0000 0.5000 0.0000  2 Al 2.46
O 0.5000 0.5000 0.5000  8 Hf 3.20, 4 Cu 3.48
Al 0.0000 0.0000 0.0000  2 Cu 2.04

---

# 5
The following is a DFT calculation (PBEsol) of an optimized crystal structure of RbHfGaPt2.

Results
DOS(E_F): 0.934 states/eV per atom
DFT formation energy: 1.899 eV per atom

Unit cell a=4.9176 b=4.9323 c=4.9323 alpha=90.00 beta=90.00 gamma=90.00
Last column: nearest neighbours and their distance in Å.
Element x y z (fractional)
Hf 0.5000 0.5000 0.5000  8 Pt 3.48, 4 Ga 3.49
Pt 0.0000 0.0000 0.5000  2 Rb 2.47
Pt 0.0000 0.5000 0.0000  2 Rb 2.47
Ga 0.5000 0.0000 0.0000  2 Rb 2.46
Rb 0.0000 0.0000 0.0000  2 Ga 2.46, 4 Pt 2.47

---

# 6
The following is a DFT calculation (PBEsol) of an optimized crystal structure of Sc3TaIn.

Results
DOS(E_F): 1.675 states/eV per atom
DFT formation energy: 1.168 eV per atom

Unit cell a=5.1478 b=5.1478 c=5.1478 alpha=90.00 beta=90.00 gamma=90.00
Last column: nearest neighbours and their distance in Å.
Element x y z (fractional)
Sc 0.5000 0.0000 0.0000  2 In 2.57
Sc 0.0000 0.5000 0.0000  2 In 2.57
Sc 0.0000 0.0000 0.5000  2 In 2.57
Ta 0.5000 0.5000 0.5000  12 Sc 3.64
In 0.0000 0.0000 0.0000  6 Sc 2.57

---

# 7
The following is a DFT calculation (PBEsol) of an optimized crystal structure of Y2TeAu.

Results
DOS(E_F): 1.051 states/eV per atom
Formation energy (no corrections): -0.9582 eV/atom

Unit cell a=3.7459 b=3.7451 c=6.8820 alpha=90.00 beta=90.01 gamma=90.00
Last column: nearest neighbours and their distance in Å.
Element x y z (fractional)
Au 0.5000 0.5000 0.0000  8 Y 3.12, 2 Te 3.44
Y 0.0003 0.0000 0.7608  4 Au 3.12, 4 Te 3.20, 1 Y 3.29
Y 0.9997 0.0000 0.2392  4 Au 3.12, 4 Te 3.20, 1 Y 3.29
Te 0.5000 0.5000 0.5000  8 Y 3.20, 2 Au 3.44

---

# 8
The following is a DFT calculation (PBEsol) of an optimized crystal structure of InNiHg2.

Results
DOS(E_F): 0.456 states/eV per atom
DFT formation energy: 0.177 eV per atom

Unit cell a=4.1622 b=4.1622 c=5.1686 alpha=113.74 beta=113.74 gamma=90.00
Last column: nearest neighbours and their distance in Å.
Element x y z (fractional)
Hg 0.2500 0.7500 0.5000  4 Hg 2.94, 4 Ni 2.97, 4 In 2.97
Hg 0.7500 0.2500 0.5000  4 Hg 2.94, 4 In 2.97, 4 Ni 2.97
In 0.5000 0.5000 0.0000  4 Ni 2.94, 8 Hg 2.97
Ni 0.0000 0.0000 0.0000  4 In 2.94, 8 Hg 2.97

---

# 9
The following is a DFT calculation (PBEsol) of an optimized crystal structure of YInCu.

Results
DOS(E_F): 0.377 states/eV per atom
DFT formation energy: -0.469 eV per atom

Unit cell a=3.7945 b=7.4334 c=7.4334 alpha=120.00 beta=90.00 gamma=90.00
Last column: nearest neighbours and their distance in Å.
Element x y z (fractional)
In 0.0000 0.0000 0.7434  4 Cu 2.69-2.81
In 0.0000 0.7434 0.0000  4 Cu 2.69-2.81
In 0.0000 0.2566 0.2566  4 Cu 2.69-2.81
Cu 0.0000 0.3333 0.6667  3 In 2.81, 6 Y 2.94
Cu 0.5000 0.0000 0.0000  6 In 2.69
Cu 0.0000 0.6667 0.3333  3 In 2.81, 6 Y 2.94
Y 0.5000 0.0000 0.4088  5 Cu 2.94-3.04, 6 In 3.13-3.27
Y 0.5000 0.4088 0.0000  5 Cu 2.94-3.04, 6 In 3.13-3.27
Y 0.5000 0.5912 0.5912  5 Cu 2.94-3.04, 6 In 3.13-3.27

---

# 10
The following is a DFT calculation (PBEsol) of an optimized crystal structure of CsBe3Cl.

Results
DOS(E_F): 0.659 states/eV per atom
Formation energy (no corrections): 1.4647 eV/atom

Unit cell a=5.0963 b=5.0963 c=5.0963 alpha=90.00 beta=90.00 gamma=90.00
Last column: nearest neighbours and their distance in Å.
Element x y z (fractional)
Be 0.0000 0.0000 0.5000  2 Cl 2.55
Be 0.0000 0.5000 0.0000  2 Cl 2.55
Be 0.5000 0.0000 0.0000  2 Cl 2.55
Cs 0.5000 0.5000 0.5000  12 Be 3.60
Cl 0.0000 0.0000 0.0000  6 Be 2.55

---

# 11
The following is a DFT calculation (PBEsol) of an optimized crystal structure of Te2HPd.

Results
DOS(E_F): 0.360 states/eV per atom
DFT total energy: -16.50 eV for the cell shown

Unit cell a=4.0769 b=4.0769 c=7.0040 alpha=73.08 beta=73.08 gamma=60.00
Last column: nearest neighbours and their distance in Å.
Element x y z (fractional)
Te 0.0996 0.0996 0.7013  1 H 1.97
Te 0.9004 0.9004 0.2987  1 H 1.97
H 0.0000 0.0000 0.0000  2 Te 1.97
Pd 0.5000 0.5000 0.5000  6 Te 2.70

---

# 12
The following is a DFT calculation (PBEsol) of an optimized crystal structure of MoPdS2Cl.

Results
DOS(E_F): 0.813 states/eV per atom
Formation energy (no corrections): 0.2281 eV/atom

Unit cell a=4.5830 b=4.5830 c=4.6870 alpha=90.00 beta=90.00 gamma=90.00
Last column: nearest neighbours and their distance in Å.
Element x y z (fractional)
S 0.5000 0.0000 0.0000  2 Mo 2.29
S 0.0000 0.5000 0.0000  2 Mo 2.29
Pd 0.5000 0.5000 0.5000  4 Cl 3.24, 8 S 3.28
Mo 0.0000 0.0000 0.0000  4 S 2.29, 2 Cl 2.34
Cl 0.0000 0.0000 0.5000  2 Mo 2.34

---

no.,magnetization (μB per formula unit)
1,0.0
2,0.0
3,0.0
4,0.0
5,0.0
6,3.6
7,0.2
8,0.0
9,0.0
10,0.0
11,0.0
12,0.0